Here is a relaxed CsHf6Se12 crystal from the Alexandria database. Energies are from GGA-PBE.

abc: 13.0686 13.0686 9.5363
angles: 90.00 90.00 120.00
Space group R-3m (No. 166, hexagonal axes)
Asymmetric unit:
Cs 0.0000 0.0000 0.0000
Hf 0.0736 0.5368 0.2726
Se 0.0000 0.3771 0.5000
Se 0.0899 0.1798 0.3444

V, A^3/atom: 24.745
Formation energy (no corrections), kJ/mol of formula units: -1898
Total magnetic moment, μB/cell: 0.0
DOS(E_F), states/eV/atom: 0.35
Crystal system: trigonal